No. 1
CaDy2ScS4 | PBE | optimized geometry

Summary:
Uncorrected energy = -6.22 eV per atom
Magnetic moment = 0.00 μB/atom
Raw formation energy = -1.9679 eV/atom
Mass density = 5.42 Mg/m³

Lattice parameters (Å, degrees): 3.8649 6.7220 6.7169 109.18 90.00 90.00
Closest atoms and distances in Å follow each position.
Sites, in units of the cell vectors:
Ca (0.5000, 0.5000, 0.0000)  6 S 2.74-2.75
Dy (0.5000, 0.0000, 0.5000)  6 S 2.73-2.74
Dy (0.0000, 0.5000, 0.5000)  6 S 2.79-2.80
Sc (0.0000, 0.0000, 0.0000)  6 S 2.69
S (0.5000, 0.2402, 0.2406)  2 Sc 2.69, 3 Dy 2.74-2.80, 1 Ca 2.74
S (0.5000, 0.7598, 0.7594)  2 Sc 2.69, 3 Dy 2.74-2.80, 1 Ca 2.74
S (0.0000, 0.2435, 0.7531)  1 Sc 2.69, 3 Dy 2.73-2.79, 2 Ca 2.75
S (0.0000, 0.7565, 0.2469)  1 Sc 2.69, 3 Dy 2.73-2.79, 2 Ca 2.75



No. 2
TlRe2Sb | PBE | optimized geometry

Summary:
Uncorrected energy = -6.91 eV per atom
Magnetic moment = 0.00 μB/atom
Raw formation energy = 0.9316 eV/atom
Mass density = 14.48 Mg/m³
Offset from the most stable computed form = 0.550 eV/atom

Lattice parameters (Å, degrees): 4.7928 4.7928 5.9504 73.58 73.58 37.88
Closest atoms and distances in Å follow each position.
Sites, in units of the cell vectors:
Re (0.0014, 0.0014, 0.9355)  3 Sb 2.69-2.81, 2 Re 2.71, 2 Tl 2.93
Re (0.4986, 0.4986, 0.5645)  3 Sb 2.69-2.81, 2 Re 2.71, 2 Tl 2.93
Sb (0.7500, 0.7500, 0.7500)  6 Re 2.69-2.81
Tl (0.2500, 0.2500, 0.2500)  4 Re 2.93, 2 Tl 3.11